Computed, not measured: a relaxed Rb3PmCu2Cl9 crystal at the PBE-GGA level of DFT.

abc: 7.2583 7.2583 9.0265
angles: 90.00 90.00 120.00
Space group P-3m1 (No. 164)
Inequivalent atoms, fractional coordinates:
Rb  0.0000  0.0000  0.0000 (multiplicity 1)
Rb  0.3333  0.6667  0.6902 (multiplicity 2)
Pm  0.0000  0.0000  0.5000 (multiplicity 1)
Cu  0.3333  0.6667  0.1362 (multiplicity 2)
Cl  0.0000  0.5000  0.0000 (multiplicity 3)
Cl  0.1734  0.3468  0.3238 (multiplicity 6)

Calculated values
Mass density = 3.4 Mg/m³
Formation energy without anion corrections = -1.548 eV/atom



Computed, not measured: a relaxed InHgBr2 crystal at the PBE-GGA level of DFT.

abc: 5.0228 6.1457 7.8424
angles: 90.00 90.00 90.00
Space group Immm (No. 71)
Inequivalent atoms, fractional coordinates:
In  0.0000  0.0000  0.0000 (multiplicity 2)
Hg  0.0000  0.0000  0.5000 (multiplicity 2)
Br  0.0000  0.5000  0.2407 (multiplicity 4)

Calculated values
Offset from the most stable computed form = 0.2363 eV/atom
Mass density = 6.5 Mg/m³
Formation energy without anion corrections = -0.327 eV/atom